A plane-wave DFT calculation with PBE-GGA was carried out for a geometry-optimized ZnAsW2 structure.

abc: 8.599 8.599 8.599
angles: 19.72 19.72 19.72
Positions (direct):
Zn1 0.000 0.000 0.000
As1 0.500 0.500 0.500
W1 0.246 0.246 0.246
W2 0.754 0.754 0.754

Output
DOS at the Fermi energy: 3.1 states/eV per cell

---

A plane-wave DFT calculation with PBE-GGA was carried out for a geometry-optimized Zn4AsW structure.

abc: 5.044 5.044 5.044
angles: 60.00 60.00 60.00
Positions (direct):
Zn1 0.376 0.376 0.376
Zn2 0.376 0.376 0.871
Zn3 0.376 0.871 0.376
Zn4 0.871 0.376 0.376
As1 0.000 0.000 0.000
W1 0.750 0.750 0.750

Output
DOS at the Fermi energy: 6.0 states/eV per cell

---

A plane-wave DFT calculation with PBE-GGA was carried out for a geometry-optimized Zn2AsW structure.

abc: 5.760 5.760 5.760
angles: 100.90 100.90 128.44
Positions (direct):
Zn1 0.115 0.625 0.990
Zn2 0.375 0.365 0.490
Zn3 0.635 0.125 0.010
Zn4 0.875 0.885 0.510
As1 0.000 0.000 0.000
As2 0.750 0.250 0.500
W1 0.250 0.750 0.500
W2 0.500 0.500 0.000

Output
DOS at the Fermi energy: 5.9 states/eV per cell

---

A plane-wave DFT calculation with PBE-GGA was carried out for a geometry-optimized Zn2AsW structure.

abc: 5.249 5.249 5.249
angles: 143.08 134.62 59.88
Positions (direct):
Zn1 0.245 0.245 0.000
Zn2 0.755 0.755 0.000
As1 0.000 0.500 0.500
W1 0.500 0.000 0.500

Output
DOS at the Fermi energy: 2.7 states/eV per cell

---

A plane-wave DFT calculation with PBE-GGA was carried out for a geometry-optimized Zn2AsW structure.

abc: 2.754 4.638 4.975
angles: 90.00 93.68 90.00
Positions (direct):
Zn1 0.000 0.000 0.000
Zn2 0.057 0.500 0.729
As1 0.639 0.000 0.477
W1 0.543 0.500 0.228

Output
DOS at the Fermi energy: 1.6 states/eV per cell

---

A plane-wave DFT calculation with PBE-GGA was carried out for a geometry-optimized ZnAsW2 structure.

abc: 4.747 4.747 4.606
angles: 96.33 96.33 38.19
Positions (direct):
Zn1 0.000 0.000 0.000
As1 0.500 0.500 0.500
W1 0.254 0.254 0.757
W2 0.746 0.746 0.243

Output
DOS at the Fermi energy: 2.1 states/eV per cell

---

A plane-wave DFT calculation with PBE-GGA was carried out for a geometry-optimized Zn2AsW structure.

abc: 2.836 2.836 8.872
angles: 90.00 90.00 106.19
Positions (direct):
Zn1 0.000 0.000 0.000
Zn2 0.500 0.500 0.233
As1 0.500 0.500 0.690
W1 0.000 0.000 0.471

Output
DOS at the Fermi energy: 1.9 states/eV per cell

---

A plane-wave DFT calculation with PBE-GGA was carried out for a geometry-optimized ZnAsW2 structure.

abc: 3.279 3.279 5.833
angles: 90.00 90.00 90.00
Positions (direct):
Zn1 0.000 0.000 0.000
As1 0.500 0.500 0.261
W1 0.000 0.000 0.510
W2 0.500 0.500 0.759

Output
DOS at the Fermi energy: 2.0 states/eV per cell

---

A plane-wave DFT calculation with PBE-GGA was carried out for a geometry-optimized ZnAsW2 structure.

abc: 5.146 5.146 5.146
angles: 144.15 126.61 65.99
Positions (direct):
Zn1 0.000 0.000 0.000
As1 0.500 0.500 0.000
W1 0.265 0.765 0.500
W2 0.735 0.235 0.500

Output
DOS at the Fermi energy: 2.7 states/eV per cell

---

A plane-wave DFT calculation with PBE-GGA was carried out for a geometry-optimized ZnAsW structure.

abc: 13.011 3.006 3.006
angles: 60.77 90.00 90.00
Positions (direct):
Zn1 0.161 0.000 0.000
Zn2 0.839 0.000 0.000
As1 0.354 0.003 0.003
As2 0.646 0.003 0.003
W1 0.000 0.664 0.664
W2 0.500 0.666 0.666

Output
DOS at the Fermi energy: 1.9 states/eV per cell

---

A plane-wave DFT calculation with PBE-GGA was carried out for a geometry-optimized Zn2AsW structure.

abc: 4.894 4.894 4.935
angles: 95.09 95.09 32.57
Positions (direct):
Zn1 0.000 0.000 0.000
Zn2 0.250 0.250 0.794
As1 0.473 0.473 0.477
W1 0.731 0.731 0.283

Output
DOS at the Fermi energy: 1.6 states/eV per cell

---

A plane-wave DFT calculation with PBE-GGA was carried out for a geometry-optimized ZnAsW2 structure.

abc: 2.912 4.542 5.099
angles: 90.00 106.56 90.00
Positions (direct):
Zn1 0.000 0.000 0.000
As1 0.621 0.500 0.247
W1 0.346 0.500 0.703
W2 0.740 0.000 0.476

Output
DOS at the Fermi energy: 2.1 states/eV per cell

---

A plane-wave DFT calculation with PBE-GGA was carried out for a geometry-optimized ZnAsW structure.

abc: 4.513 4.513 2.730
angles: 90.00 90.00 120.00
Positions (direct):
Zn1 0.000 0.000 0.000
As1 0.667 0.333 0.500
W1 0.333 0.667 0.500

Output
DOS at the Fermi energy: 1.1 states/eV per cell

---

A plane-wave DFT calculation with PBE-GGA was carried out for a geometry-optimized ZnAsW2 structure.

abc: 9.758 9.758 9.758
angles: 157.52 157.52 32.01
Positions (direct):
Zn1 0.000 0.000 0.000
Zn2 0.750 0.250 0.500
As1 0.250 0.750 0.500
As2 0.500 0.500 0.000
W1 0.108 0.625 0.983
W2 0.375 0.358 0.483
W3 0.642 0.125 0.017
W4 0.875 0.892 0.517

Output
DOS at the Fermi energy: 2.5 states/eV per cell

---

A plane-wave DFT calculation with PBE-GGA was carried out for a geometry-optimized ZnAsW structure.

abc: 4.286 4.286 4.286
angles: 60.00 60.00 60.00
Positions (direct):
Zn1 0.000 0.000 0.000
As1 0.500 0.500 0.500
W1 0.250 0.250 0.250

Output
DOS at the Fermi energy: 2.0 states/eV per cell

---

A plane-wave DFT calculation with PBE-GGA was carried out for a geometry-optimized ZnAsW2 structure.

abc: 4.406 4.406 4.406
angles: 60.00 60.00 60.00
Positions (direct):
Zn1 0.000 0.000 0.000
As1 0.500 0.500 0.500
W1 0.250 0.250 0.250
W2 0.750 0.750 0.750

Output
DOS at the Fermi energy: 2.7 states/eV per cell

---

A plane-wave DFT calculation with PBE-GGA was carried out for a geometry-optimized Zn2AsW structure.

abc: 2.732 4.841 5.061
angles: 90.00 105.60 90.00
Positions (direct):
Zn1 0.066 0.000 0.266
Zn2 0.934 0.000 0.734
As1 0.000 0.500 0.000
W1 0.500 0.500 0.500

Output
DOS at the Fermi energy: 1.2 states/eV per cell

---

A plane-wave DFT calculation with PBE-GGA was carried out for a geometry-optimized ZnAsW2 structure.

abc: 5.101 5.101 2.832
angles: 101.32 101.32 113.78
Positions (direct):
Zn1 0.000 0.000 0.000
As1 0.500 0.500 0.000
W1 0.000 0.500 0.500
W2 0.500 0.000 0.500

Output
DOS at the Fermi energy: 2.5 states/eV per cell

---

A plane-wave DFT calculation with PBE-GGA was carried out for a geometry-optimized Zn2AsW structure.

abc: 5.171 5.171 2.906
angles: 97.77 97.77 121.73
Positions (direct):
Zn1 0.000 0.500 0.000
Zn2 0.500 0.000 0.000
As1 0.000 0.000 0.500
W1 0.500 0.500 0.500

Output
DOS at the Fermi energy: 1.2 states/eV per cell

---

A plane-wave DFT calculation with PBE-GGA was carried out for a geometry-optimized ZrZnAs2W structure.

abc: 4.820 4.820 4.832
angles: 90.00 90.00 90.00
Positions (direct):
Zr1 0.000 0.000 0.000
Zn1 0.500 0.500 0.000
As1 0.000 0.500 0.500
As2 0.500 0.000 0.500
W1 0.500 0.500 0.500

Output
DOS at the Fermi energy: 4.7 states/eV per cell

---

A plane-wave DFT calculation with PBE-GGA was carried out for a geometry-optimized ZrAs3W structure.

abc: 5.032 5.032 5.032
angles: 90.00 90.00 90.00
Positions (direct):
Zr1 0.000 0.000 0.000
As1 0.000 0.000 0.500
As2 0.000 0.500 0.000
As3 0.500 0.000 0.000
W1 0.500 0.500 0.500

Output
DOS at the Fermi energy: 16.1 states/eV per cell

---

A plane-wave DFT calculation with PBE-GGA was carried out for a geometry-optimized Zr2AsW structure.

abc: 5.917 5.917 5.917
angles: 146.90 135.45 56.60
Positions (direct):
Zr1 0.000 0.000 0.000
Zr2 0.737 0.237 0.500
As1 0.427 0.427 0.000
W1 0.230 0.730 0.500

Output
DOS at the Fermi energy: 3.2 states/eV per cell

---

A plane-wave DFT calculation with PBE-GGA was carried out for a geometry-optimized ZrAsW2 structure.

abc: 5.609 5.609 5.609
angles: 140.59 140.59 56.96
Positions (direct):
Zr1 0.000 0.000 0.000
As1 0.500 0.500 0.000
W1 0.250 0.750 0.500
W2 0.750 0.250 0.500

Output
DOS at the Fermi energy: 3.3 states/eV per cell

---

A plane-wave DFT calculation with PBE-GGA was carried out for a geometry-optimized ZrAsW2 structure.

abc: 4.563 3.273 4.771
angles: 90.00 103.26 90.00
Positions (direct):
Zr1 0.000 0.000 0.000
As1 0.500 0.500 0.000
W1 0.000 0.500 0.500
W2 0.500 0.000 0.500

Output
DOS at the Fermi energy: 3.4 states/eV per cell

---

A plane-wave DFT calculation with PBE-GGA was carried out for a geometry-optimized Zr2AsW structure.

abc: 3.091 3.091 8.459
angles: 90.00 90.00 108.25
Positions (direct):
Zr1 0.000 0.000 0.243
Zr2 0.000 0.000 0.757
As1 0.500 0.500 0.000
W1 0.500 0.500 0.500

Output
DOS at the Fermi energy: 3.1 states/eV per cell

---

A plane-wave DFT calculation with PBE-GGA was carried out for a geometry-optimized ZrAs2W structure.

abc: 8.001 8.001 8.001
angles: 23.81 23.81 23.81
Positions (direct):
Zr1 0.000 0.000 0.000
As1 0.242 0.242 0.242
As2 0.758 0.758 0.758
W1 0.500 0.500 0.500

Output
DOS at the Fermi energy: 3.1 states/eV per cell

---

A plane-wave DFT calculation with PBE-GGA was carried out for a geometry-optimized ZrAsW structure.

abc: 4.638 4.638 2.896
angles: 90.00 90.00 120.00
Positions (direct):
Zr1 0.000 0.000 0.000
As1 0.667 0.333 0.500
W1 0.333 0.667 0.500

Output
DOS at the Fermi energy: 1.6 states/eV per cell

---

A plane-wave DFT calculation with PBE-GGA was carried out for a geometry-optimized ZrAsW structure.

abc: 4.361 4.361 4.361
angles: 60.00 60.00 60.00
Positions (direct):
Zr1 0.000 0.000 0.000
As1 0.250 0.250 0.250
W1 0.500 0.500 0.500

Output
DOS at the Fermi energy: 4.1 states/eV per cell

---

A plane-wave DFT calculation with PBE-GGA was carried out for a geometry-optimized ZrAs2W structure.

abc: 3.215 3.215 6.618
angles: 90.00 90.00 90.00
Positions (direct):
Zr1 0.000 0.000 0.000
As1 0.500 0.500 0.273
As2 0.500 0.500 0.727
W1 0.000 0.000 0.500

Output
DOS at the Fermi energy: 2.0 states/eV per cell

---

A plane-wave DFT calculation with PBE-GGA was carried out for a geometry-optimized ZrAsW2 structure.

abc: 3.804 3.804 4.861
angles: 90.00 90.00 90.00
Positions (direct):
Zr1 0.000 0.000 0.000
As1 0.500 0.500 0.000
W1 0.000 0.500 0.500
W2 0.500 0.000 0.500

Output
DOS at the Fermi energy: 3.0 states/eV per cell

---

no.,DFT formation energy (eV/atom)
1,0.4136
2,0.4092
3,0.6088
4,0.3258
5,0.2335
6,0.3788
7,0.3072
8,0.2152
9,0.4216
10,0.2166
11,0.2512
12,0.3652
13,0.3820
14,0.5690
15,0.6889
16,0.5247
17,0.3306
18,0.4750
19,0.3465
20,0.6049
21,1.4402
22,-0.2033
23,0.0964
24,0.0919
25,-0.2617
26,-0.0604
27,-0.0319
28,0.2118
29,-0.2847
30,0.0986